1.
A plane-wave DFT calculation with PBE-GGA was carried out for a relaxed TbHoCdAu crystal.

The density of states at the Fermi level comes out at 0.78 states/eV/atom. The calculation puts the energy relative to the lowest polymorph listed for this composition at 0.00 eV/f.u. As for the formation energy from the elements: -0.5901 eV/atom. The calculation puts the total energy at -3.940 eV/atom.

It has space group P4mm (No. 99), with a = 3.677 Å, b = 3.677 Å, c = 7.298 Å, α = 90.00°, β = 90.00° and γ = 90.00°. The distinct sites, in fractional coordinates, are Tb at (0.000, 0.000, 0.000), Ho at (0.000, 0.000, 0.527), Cd at (0.500, 0.500, 0.266) and Au at (0.500, 0.500, 0.757).

***

2.
A plane-wave DFT calculation with PBE-GGA was carried out for a relaxed Tb2HoCdAu4 crystal.

The density of states at the Fermi level comes out at 0.68 states/eV/atom. As for the formation energy from the elements: -0.7836 eV/atom. The calculation puts the total energy at -4.266 eV/atom.

It has space group R-3m (No. 166, hexagonal axes), with a = 5.0137 Å, b = 5.0137 Å, c = 24.8722 Å, α = 90.00°, β = 90.00° and γ = 120.00°. The distinct sites, in fractional coordinates, are Tb at (0.0000, 0.0000, 0.2431), Ho at (0.0000, 0.0000, 0.0000), Cd at (0.0000, 0.0000, 0.5000), Au at (0.0000, 0.0000, 0.1200) and Au at (0.0000, 0.0000, 0.3661).

***

3.
A plane-wave DFT calculation with PBE-GGA was carried out for a relaxed HoTlCdAu crystal.

The density of states at the Fermi level comes out at 0.78 states/eV/atom. As for the formation energy from the elements: -0.3856 eV/atom. The calculation puts the total energy at -3.170 eV/atom.

It has space group F-43m (No. 216), with a = 7.161 Å, b = 7.161 Å, c = 7.161 Å, α = 90.00°, β = 90.00° and γ = 90.00°. The distinct sites, in fractional coordinates, are Ho at (0.000, 0.000, 0.000), Tl at (0.250, 0.250, 0.750), Cd at (0.000, 0.000, 0.500) and Au at (0.250, 0.250, 0.250).

***

4.
A plane-wave DFT calculation with PBE-GGA was carried out for a relaxed HoZn2CdAu2 crystal.

The density of states at the Fermi level comes out at 0.30 states/eV/atom. As for the formation energy from the elements: -0.4722 eV/atom. The calculation puts the total energy at -2.905 eV/atom.

It has space group P-3m1 (No. 164), with a = 4.5659 Å, b = 4.5659 Å, c = 6.4708 Å, α = 90.00°, β = 90.00° and γ = 120.00°. The distinct sites, in fractional coordinates, are Ho at (0.0000, 0.0000, 0.0000), Zn at (0.3333, 0.6667, 0.7230), Cd at (0.0000, 0.0000, 0.5000) and Au at (0.3333, 0.6667, 0.2517).

***

5.
A plane-wave DFT calculation with PBE-GGA was carried out for a relaxed HoZn2Cd2Au2 crystal.

The density of states at the Fermi level comes out at 0.42 states/eV/atom. As for the formation energy from the elements: -0.3986 eV/atom. The calculation puts the total energy at -2.614 eV/atom.

It has space group R-3m (No. 166, hexagonal axes), with a = 4.5761 Å, b = 4.5761 Å, c = 23.5766 Å, α = 90.00°, β = 90.00° and γ = 120.00°. The distinct sites, in fractional coordinates, are Ho at (0.0000, 0.0000, 0.0000), Zn at (0.0000, 0.0000, 0.4016), Cd at (0.0000, 0.0000, 0.1354) and Au at (0.0000, 0.0000, 0.2620).

***

6.
A plane-wave DFT calculation with PBE-GGA was carried out for a relaxed CdAuI2 crystal.

The calculation puts the uncorrected formation energy at 225.5 meV per atom. The density of states at the Fermi level comes out at 0.45 states/eV/atom. The calculation puts the energy relative to the lowest polymorph listed for this composition at 0.88 eV/f.u. The calculation puts the total energy at -1.598 eV/atom.

It has space group Fm-3m (No. 225), with a = 7.679 Å, b = 7.679 Å, c = 7.679 Å, α = 90.00°, β = 90.00° and γ = 90.00°. The distinct sites, in fractional coordinates, are Cd at (0.000, 0.000, 0.000), Au at (0.000, 0.000, 0.500) and I at (0.250, 0.250, 0.250).

***

7.
A plane-wave DFT calculation with PBE-GGA was carried out for a relaxed Cd2AuI6 crystal.

The calculation puts the uncorrected formation energy at -356.1 meV per atom. The density of states at the Fermi level comes out at 0.57 states/eV/atom. The calculation puts the energy relative to the lowest polymorph listed for this composition at 0.00 eV/f.u. The calculation puts the total energy at -1.957 eV/atom.

It has space group C2/c (No. 15), with a = 14.972 Å, b = 16.901 Å, c = 7.521 Å, α = 90.00°, β = 119.79° and γ = 90.00°. The distinct sites, in fractional coordinates, are Cd at (0.250, 0.074, 0.088), Au at (0.000, 0.249, 0.750), I at (0.073, 0.142, 0.069), I at (0.075, 0.355, 0.577) and I at (0.248, 0.413, 0.285).

***

8.
A plane-wave DFT calculation with PBE-GGA was carried out for a relaxed CdAu2I crystal.

The calculation puts the uncorrected formation energy at 370.9 meV per atom. The density of states at the Fermi level comes out at 0.64 states/eV/atom. The calculation puts the energy relative to the lowest polymorph listed for this composition at 0.63 eV/f.u. The calculation puts the total energy at -1.884 eV/atom.

It has space group Fm-3m (No. 225), with a = 7.186 Å, b = 7.186 Å, c = 7.186 Å, α = 90.00°, β = 90.00° and γ = 90.00°. The distinct sites, in fractional coordinates, are Cd at (0.000, 0.000, 0.000), Au at (0.250, 0.250, 0.250) and I at (0.000, 0.000, 0.500).

***

9.
A plane-wave DFT calculation with PBE-GGA was carried out for a relaxed Cd2AuI crystal.

The calculation puts the uncorrected formation energy at 217.6 meV per atom. The density of states at the Fermi level comes out at 0.30 states/eV/atom. The calculation puts the energy relative to the lowest polymorph listed for this composition at 1.05 eV/f.u. The calculation puts the total energy at -1.447 eV/atom.

It has space group Fm-3m (No. 225), with a = 7.471 Å, b = 7.471 Å, c = 7.471 Å, α = 90.00°, β = 90.00° and γ = 90.00°. The distinct sites, in fractional coordinates, are Cd at (0.250, 0.250, 0.250), Au at (0.000, 0.000, 0.000) and I at (0.000, 0.000, 0.500).

***

10.
A plane-wave DFT calculation with PBE-GGA was carried out for a relaxed CdAu2I crystal.

The calculation puts the uncorrected formation energy at 212.8 meV per atom. The density of states at the Fermi level comes out at 0.30 states/eV/atom. The calculation puts the energy relative to the lowest polymorph listed for this composition at 0.00 eV/f.u. The calculation puts the total energy at -2.042 eV/atom.

It has space group I-42d (No. 122), with a = 7.724 Å, b = 7.724 Å, c = 6.916 Å, α = 90.00°, β = 90.00° and γ = 90.00°. The distinct sites, in fractional coordinates, are Cd at (0.000, 0.000, 0.000), Au at (0.235, 0.250, 0.125) and I at (0.000, 0.000, 0.500).

***

11.
A plane-wave DFT calculation with PBE-GGA was carried out for a relaxed Cd2AuI crystal.

The calculation puts the uncorrected formation energy at -44.9 meV per atom. The density of states at the Fermi level comes out at 0.10 states/eV/atom. The calculation puts the energy relative to the lowest polymorph listed for this composition at 0.00 eV/f.u. The calculation puts the total energy at -1.709 eV/atom.

It has space group I-42d (No. 122), with a = 7.854 Å, b = 7.854 Å, c = 7.684 Å, α = 90.00°, β = 90.00° and γ = 90.00°. The distinct sites, in fractional coordinates, are Cd at (0.213, 0.750, 0.125), Au at (0.000, 0.000, 0.000) and I at (0.000, 0.000, 0.500).

***

12.
A plane-wave DFT calculation with PBE-GGA was carried out for a relaxed Cd5Au3I12 crystal.

The calculation puts the uncorrected formation energy at -190.8 meV per atom. The density of states at the Fermi level comes out at 0.13 states/eV/atom. The calculation puts the total energy at -1.841 eV/atom.

It has space group Ia-3d (No. 230), with a = 18.924 Å, b = 18.924 Å, c = 18.924 Å, α = 90.00°, β = 90.00° and γ = 90.00°. The distinct sites, in fractional coordinates, are Cd at (0.000, 0.000, 0.000), Cd at (0.000, 0.250, 0.375), Au at (0.000, 0.250, 0.125) and I at (0.004, 0.014, 0.344).

***

13.
A plane-wave DFT calculation with PBE-GGA was carried out for a relaxed CdAu2I4 crystal.

The calculation puts the uncorrected formation energy at -218.1 meV per atom. The calculation puts the total energy at -2.171 eV/atom.

It has space group P-42m (No. 111), with a = 6.539 Å, b = 6.539 Å, c = 6.299 Å, α = 90.00°, β = 90.00° and γ = 90.00°. The distinct sites, in fractional coordinates, are Cd at (0.000, 0.000, 0.000), Au at (0.000, 0.500, 0.500) and I at (0.260, 0.260, 0.243).

***

14.
A plane-wave DFT calculation with PBE-GGA was carried out for a relaxed Cd3Au5I12 crystal.

The calculation puts the uncorrected formation energy at -90.1 meV per atom. The density of states at the Fermi level comes out at 0.25 states/eV/atom. The calculation puts the total energy at -1.977 eV/atom.

It has space group Ia-3d (No. 230), with a = 18.659 Å, b = 18.659 Å, c = 18.659 Å, α = 90.00°, β = 90.00° and γ = 90.00°. The distinct sites, in fractional coordinates, are Cd at (0.000, 0.250, 0.125), Au at (0.000, 0.000, 0.000), Au at (0.000, 0.250, 0.375) and I at (0.003, 0.007, 0.655).

***

15.
A plane-wave DFT calculation with PBE-GGA was carried out for a relaxed CdAuI2 crystal.

The calculation puts the uncorrected formation energy at 5.0 meV per atom. The density of states at the Fermi level comes out at 0.57 states/eV/atom. The calculation puts the energy relative to the lowest polymorph listed for this composition at 0.00 eV/f.u. The calculation puts the total energy at -1.818 eV/atom.

It has space group I-42d (No. 122), with a = 6.904 Å, b = 6.904 Å, c = 13.622 Å, α = 90.00°, β = 90.00° and γ = 90.00°. The distinct sites, in fractional coordinates, are Cd at (0.000, 0.000, 0.000), Au at (0.000, 0.000, 0.500) and I at (0.217, 0.250, 0.625).

***

16.
A plane-wave DFT calculation with PBE-GGA was carried out for a relaxed Cd2InAuI crystal.

The calculation puts the uncorrected formation energy at -155.4 meV per atom. The density of states at the Fermi level comes out at 0.54 states/eV/atom. The calculation puts the total energy at -2.035 eV/atom.

It has space group P4/mmm (No. 123), with a = 5.415 Å, b = 5.415 Å, c = 5.457 Å, α = 90.00°, β = 90.00° and γ = 90.00°. The distinct sites, in fractional coordinates, are Cd at (0.000, 0.500, 0.000), In at (0.000, 0.000, 0.500), Au at (0.000, 0.000, 0.000) and I at (0.500, 0.500, 0.500).

***

17.
A plane-wave DFT calculation with PBE-GGA was carried out for a relaxed CdIn2AuI crystal.

The calculation puts the uncorrected formation energy at 73.3 meV per atom. The density of states at the Fermi level comes out at 0.30 states/eV/atom. The calculation puts the energy relative to the lowest polymorph listed for this composition at 1.34 eV/f.u. The calculation puts the total energy at -2.171 eV/atom.

It has space group P4/mmm (No. 123), with a = 5.381 Å, b = 5.381 Å, c = 6.075 Å, α = 90.00°, β = 90.00° and γ = 90.00°. The distinct sites, in fractional coordinates, are Cd at (0.000, 0.000, 0.000), In at (0.000, 0.500, 0.500), Au at (0.500, 0.500, 0.500) and I at (0.500, 0.500, 0.000).

***

18.
A plane-wave DFT calculation with PBE-GGA was carried out for a relaxed CdInAu2I crystal.

The calculation puts the uncorrected formation energy at 344.4 meV per atom. The density of states at the Fermi level comes out at 0.67 states/eV/atom. The calculation puts the total energy at -2.007 eV/atom.

It has space group P4/mmm (No. 123), with a = 5.258 Å, b = 5.258 Å, c = 5.755 Å, α = 90.00°, β = 90.00° and γ = 90.00°. The distinct sites, in fractional coordinates, are Cd at (0.000, 0.000, 0.000), In at (0.000, 0.000, 0.500), Au at (0.000, 0.500, 0.500) and I at (0.500, 0.500, 0.000).

***

19.
A plane-wave DFT calculation with PBE-GGA was carried out for a relaxed CdIn2AuI crystal.

The calculation puts the uncorrected formation energy at -194.9 meV per atom. The density of states at the Fermi level comes out at 0.23 states/eV/atom. The calculation puts the energy relative to the lowest polymorph listed for this composition at 0.00 eV/f.u. The calculation puts the total energy at -2.439 eV/atom.

It has space group P4/mmm (No. 123), with a = 5.435 Å, b = 5.435 Å, c = 5.393 Å, α = 90.00°, β = 90.00° and γ = 90.00°. The distinct sites, in fractional coordinates, are Cd at (0.000, 0.000, 0.000), In at (0.000, 0.500, 0.500), Au at (0.000, 0.000, 0.500) and I at (0.500, 0.500, 0.000).